AcLaSb: relaxed, PBE.

The structure belongs to space group F-43m (No. 216); the cell edges are 7.732, 7.732 and 7.732 Å and the angles 90.00°, 90.00° and 90.00°. The asymmetric unit holds Ac at (0.000, 0.000, 0.000), La at (0.000, 0.000, 0.500) and Sb at (0.250, 0.250, 0.250).

For the uncorrected formation energy, the calculation gives -0.63 eV per atom.

=====

Mn3AlMo: relaxed, PBE.

The structure belongs to space group Pm-3m (No. 221); the cell edges are 4.544, 4.544 and 4.544 Å and the angles 90.00°, 90.00° and 90.00°. The asymmetric unit holds Mn at (0.000, 0.000, 0.500), Al at (0.500, 0.500, 0.500) and Mo at (0.000, 0.000, 0.000).

The calculation puts the formation energy at 1.276 eV/atom.

=====

ZrMnNbMo: relaxed, PBE.

The structure belongs to space group F-43m (No. 216); the cell edges are 6.449, 6.449 and 6.449 Å and the angles 90.00°, 90.00° and 90.00°. The asymmetric unit holds Zr at (0.000, 0.000, 0.000), Mn at (0.250, 0.250, 0.250), Nb at (0.000, 0.000, 0.500) and Mo at (0.250, 0.250, 0.750).

The calculation puts the formation energy at -0.007 eV/atom.

=====

Ordered total magnetization results: 0.000; 6.970; 1.174; unit μB/f.u..
Ordered density of states at the Fermi level results: 11.4; 7.4; 19.7; unit states/eV/cell.